[1]
A plane-wave DFT calculation with PBE-GGA was carried out for an optimized crystal structure of NaSbTe2F.

Cell and atoms, written as CIF:
```
data_NaSbTe2F
_space_group_name_H-M_alt 'P 4/m m m'
_space_group_IT_number 123
_space_group_name_Hall '-P 4 2'
_cell_length_a 5.4879
_cell_length_b 5.4879
_cell_length_c 4.4821
_cell_angle_alpha 90.00
_cell_angle_beta 90.00
_cell_angle_gamma 90.00
loop_
_atom_site_label
_atom_site_fract_x
_atom_site_fract_y
_atom_site_fract_z
Na1 0.0000 0.0000 0.0000
Sb1 0.5000 0.5000 0.0000
Te1 0.0000 0.5000 0.5000
F1 0.5000 0.5000 0.5000
```

Calculated values
M_tot: 0.0000 μB/atom
Crystal system: tetragonal
VASP energy: -3.101 eV per atom

***

[2]
A plane-wave DFT calculation with PBE-GGA was carried out for an optimized crystal structure of NaSbTe2F.

Cell and atoms, written as CIF:
```
data_NaSbTe2F
_space_group_name_H-M_alt 'P 4/m m m'
_space_group_IT_number 123
_space_group_name_Hall '-P 4 2'
_cell_length_a 5.3281
_cell_length_b 5.3281
_cell_length_c 5.4504
_cell_angle_alpha 90.00
_cell_angle_beta 90.00
_cell_angle_gamma 90.00
loop_
_atom_site_label
_atom_site_fract_x
_atom_site_fract_y
_atom_site_fract_z
Na1 0.0000 0.0000 0.0000
Sb1 0.0000 0.0000 0.5000
Te1 0.0000 0.5000 0.0000
F1 0.5000 0.5000 0.5000
```

Calculated values
M_tot: 0.0000 μB/atom
Crystal system: tetragonal
VASP energy: -2.306 eV per atom

***

Offset from the most stable computed form across the listed records, respectively: 0, 796 meV/atom.
Energy relative to the elements, uncorrected across the listed records, respectively: -382, 413 meV/atom.
Calculated volume across the listed records, respectively: 135, 155 Å³/f.u..